Here is Gd2DyMg3Pd2Pt after structural relaxation from OQMD. Energies are from PBE-GGA.

Computed properties:
Magnetization   0.012 μB/f.u.
Total DFT energy (no corrections)   -0.3424 Ry per atom
Space group   Amm2, No. 38

Cell lengths 4.1074, 7.4191, 7.4191 Å; angles 120.06, 90.00, 90.00 degrees
Element x y z (fractional)
Gd1 0.0000 0.2041 0.7959
Gd2 0.0000 0.7959 0.2041
Dy1 0.0000 0.3888 0.3888
Mg1 0.5000 0.0399 0.0399
Mg2 0.5000 0.5524 0.7952
Mg3 0.5000 0.7952 0.5524
Pd1 0.5000 0.1304 0.4622
Pd2 0.5000 0.4622 0.1304
Pt1 0.0000 0.7945 0.7945

=====

Here is RbZnPb after structural relaxation from OQMD. Energies are from PBE-GGA.

Computed properties:
Total DFT energy (no corrections)   -0.1192 Ry per atom
Space group   F-43m, No. 216

Cell lengths 5.5167, 5.5167, 5.5167 Å; angles 60.00, 60.00, 60.00 degrees
Element x y z (fractional)
Rb1 0.0000 0.0000 0.0000
Zn1 0.5000 0.5000 0.5000
Pb1 0.2500 0.2500 0.2500

=====

Here is BaGdAl4Ni2 after structural relaxation from OQMD. Energies are from PBE-GGA.

Computed properties:
Magnetization   0.002 μB/f.u.
Total DFT energy (no corrections)   -0.3316 Ry per atom
Space group   Amm2, No. 38

Cell lengths 7.1633, 5.8956, 5.8956 Å; angles 40.43, 90.00, 90.00 degrees
Element x y z (fractional)
Ba1 0.0000 0.0000 0.0000
Gd1 0.5000 0.9056 0.9056
Al1 0.2014 0.2777 0.2777
Al2 0.3181 0.6306 0.6306
Al3 0.6819 0.6306 0.6306
Al4 0.7986 0.2777 0.2777
Ni1 0.0000 0.7314 0.7314
Ni2 0.5000 0.1726 0.1726